Crystalline Cs2NbAg2Se4 at its relaxed geometry. Source: OQMD, functional GGA-PBE.

abc: 7.9724 7.9724 6.2666
angles: 90.00 90.00 133.48
Closest atoms and distances in Å follow each position.
Sites, in units of the cell vectors:
Se: 0.8781 0.6704 0.2250  1 Nb 2.51, 2 Ag 2.70
Ag: 0.0000 0.0000 0.5000  4 Se 2.70
Se: 0.3296 0.1219 0.7750  1 Nb 2.51, 2 Ag 2.70
Nb: 0.0000 0.0000 0.0000  4 Se 2.51
Cs: 0.0000 0.5000 0.7371  8 Se 3.69-3.94
Cs: 0.5000 0.0000 0.2629  8 Se 3.69-3.94
Se: 0.1219 0.3296 0.2250  1 Nb 2.51, 2 Ag 2.70
Se: 0.6704 0.8781 0.7750  1 Nb 2.51, 2 Ag 2.70
Ag: 0.5000 0.5000 0.0000  4 Se 2.70

## Properties
Calculated density = 5.1 g/cm3
Raw total energy = -38.16 eV/cell

Crystalline HfMg3 at its relaxed geometry. Source: OQMD, functional GGA-PBE.

abc: 6.1997 6.1997 4.7986
angles: 90.00 90.00 107.86
Closest atoms and distances in Å follow each position.
Sites, in units of the cell vectors:
Mg: 0.1088 0.3288 0.7500  7 Mg 2.96-3.28, 4 Hf 3.01-3.23
Mg: 0.8912 0.6712 0.2500  7 Mg 2.96-3.28, 4 Hf 3.01-3.23
Mg: 0.8247 0.1753 0.2500  8 Mg 2.96-3.28, 2 Hf 3.23
Hf: 0.6093 0.3907 0.7500  10 Mg 3.01-3.23, 2 Hf 3.25
Mg: 0.1753 0.8247 0.7500  8 Mg 2.96-3.28, 2 Hf 3.23
Mg: 0.3288 0.1088 0.2500  7 Mg 2.96-3.28, 4 Hf 3.01-3.23
Hf: 0.3907 0.6093 0.2500  10 Mg 3.01-3.23, 2 Hf 3.25
Mg: 0.6712 0.8912 0.7500  7 Mg 2.96-3.28, 4 Hf 3.01-3.23

## Properties
Calculated density = 4.8 g/cm3
Raw total energy = -28.23 eV/cell

Crystalline Cd3GeSe4 at its relaxed geometry. Source: OQMD, functional GGA-PBE.

abc: 7.6002 7.6002 7.6002
angles: 131.18 131.18 71.52
Closest atoms and distances in Å follow each position.
Sites, in units of the cell vectors:
Se: 0.8730 0.8730 0.4939  3 Cd 2.69-2.70, 1 Ge 2.73
Cd: 0.7500 0.2500 0.5000  4 Se 2.70
Se: 0.6209 0.1270 0.0000  3 Cd 2.69-2.70, 1 Ge 2.73
Ge: 0.0000 0.0000 0.0000  4 Se 2.73
Se: 0.1270 0.6209 0.0000  3 Cd 2.69-2.70, 1 Ge 2.73
Se: 0.3791 0.3791 0.5061  3 Cd 2.69-2.70, 1 Ge 2.73
Cd: 0.5000 0.5000 0.0000  4 Se 2.69
Cd: 0.2500 0.7500 0.5000  4 Se 2.70

## Properties
Calculated density = 5.0 g/cm3
Raw total energy = -24.95 eV/cell

Repeat the third record exactly.
Crystalline Cd3GeSe4 at its relaxed geometry. Source: OQMD, functional GGA-PBE.

abc: 7.6002 7.6002 7.6002
angles: 131.18 131.18 71.52
Closest atoms and distances in Å follow each position.
Sites, in units of the cell vectors:
Se: 0.8730 0.8730 0.4939  3 Cd 2.69-2.70, 1 Ge 2.73
Cd: 0.7500 0.2500 0.5000  4 Se 2.70
Se: 0.6209 0.1270 0.0000  3 Cd 2.69-2.70, 1 Ge 2.73
Ge: 0.0000 0.0000 0.0000  4 Se 2.73
Se: 0.1270 0.6209 0.0000  3 Cd 2.69-2.70, 1 Ge 2.73
Se: 0.3791 0.3791 0.5061  3 Cd 2.69-2.70, 1 Ge 2.73
Cd: 0.5000 0.5000 0.0000  4 Se 2.69
Cd: 0.2500 0.7500 0.5000  4 Se 2.70

## Properties
Calculated density = 5.0 g/cm3
Raw total energy = -24.95 eV/cell

- Look up the raw total energy of the second one.
  -28.23 eV/cell

- What is the calculated density in the third record?
  5.0 g/cm3